## TiSb2TePd (GGA-PBEsol)

Data for a geometry-optimized TiSb2TePd structure.

- size of the total moment (μB/cell) = 0.001
- energy relative to the elements, uncorrected (eV/atom) = 0.4083
- space group = No. 123

a = 5.125 Å, b = 5.125 Å, c = 5.105 Å
α = 90.00°, β = 90.00°, γ = 90.00°
Element x y z (fractional)
Ti1 0.000 0.000 0.000
Sb1 0.000 0.500 0.000
Sb2 0.500 0.000 0.000
Te1 0.000 0.000 0.500
Pd1 0.500 0.500 0.500